This record from OQMD describes crystalline AsIr9 at its relaxed geometry. The functional is PBE-GGA.

The structure in CIF format:
```
data_AsIr9
_cell_length_a 2.7508
_cell_length_b 3.8472
_cell_length_c 34.6639
_cell_angle_alpha 90.00
_cell_angle_beta 90.00
_cell_angle_gamma 90.00
_space_group_name_H-M_alt 'P m m n'
_space_group_IT_number 59
loop_
_space_group_symop_operation_xyz
'x,y,z'
'-x,-y,-z'
'-x+1/2,-y+1/2,z'
'x+1/2,y+1/2,-z'
'x+1/2,-y,-z'
'-x+1/2,y,z'
'-x,y+1/2,-z'
'x,-y+1/2,z'
loop_
_atom_site_label
_atom_site_type_symbol
_atom_site_fract_x
_atom_site_fract_y
_atom_site_fract_z
As1 As 0.2500 0.2500 0.1291
Ir1 Ir 0.2500 0.2500 0.2047
Ir2 Ir 0.2500 0.2500 0.2838
Ir3 Ir 0.2500 0.2500 0.3622
Ir4 Ir 0.2500 0.2500 0.4408
Ir5 Ir 0.2500 0.2500 0.5197
Ir6 Ir 0.2500 0.2500 0.5985
Ir7 Ir 0.2500 0.2500 0.6773
Ir8 Ir 0.2500 0.2500 0.7560
Ir9 Ir 0.2500 0.2500 0.8362
```

Calculated volume ... 183 Å³/f.u.
ΔE to the lowest computed polymorph ... 0.05 eV per formula unit
E_tot ... -0.3088 hartree per atom
Total magnetic moment ... 0.001 μB per formula unit